The following is a PBE calculation of La12Pr5Er after structural relaxation, from the Alexandria database.

- Final energy: -4.85 eV per atom
- Density of states at the Fermi level: 1.9375 states/eV per atom
- Magnetization: 0.00 μB/f.u.
- Energy of formation: 0.3 eV/f.u.

Cell lengths 11.119, 11.153, 6.438 Å; angles 73.04, 90.00, 60.10 degrees
Fractional coordinates of all 18 atoms:
La1 0.165 0.333 0.499
La2 0.333 0.668 0.999
La3 0.002 0.332 0.001
La4 0.671 0.000 0.000
Pr1 0.667 0.667 0.002
Pr2 0.834 0.331 0.504
Er1 0.000 0.000 0.000
La5 0.835 0.667 0.501
La6 0.502 0.333 0.499
La7 0.998 0.668 0.999
Pr3 0.500 0.000 0.500
Pr4 0.333 0.333 0.998
La8 0.165 0.000 0.500
La9 0.835 0.000 0.500
La10 0.498 0.667 0.501
La11 0.667 0.332 0.001
Pr5 0.166 0.669 0.496
La12 0.329 0.000 0.000